# 1
Entry from Alexandria: crystalline AlVSCl2 at its relaxed geometry (PBE-GGA).

Calculated values
distance to the lowest polymorph of the same formula = 288.7 meV per atom
volume = 104.0 Å³ per cell
uncorrected formation energy = -227 meV/atom

Cell lengths 4.649, 4.649, 4.813 Å; angles 90.00, 90.00, 90.00 degrees
Positions (direct):
Al1 0.000 0.000 0.000
V1 0.500 0.500 0.500
S1 0.000 0.000 0.500
Cl1 0.000 0.500 0.000
Cl2 0.500 0.000 0.000

---

# 2
Entry from Alexandria: crystalline AlVSCl2 at its relaxed geometry (PBE-GGA).

Calculated values
distance to the lowest polymorph of the same formula = 0.0 meV per atom
volume = 112.2 Å³ per cell
uncorrected formation energy = -516 meV/atom

Cell lengths 4.944, 4.944, 4.588 Å; angles 90.00, 90.00, 90.00 degrees
Positions (direct):
Al1 0.000 0.000 0.000
V1 0.500 0.500 0.500
S1 0.500 0.500 0.000
Cl1 0.000 0.500 0.500
Cl2 0.500 0.000 0.500

---

# 3
Entry from Alexandria: crystalline AlWS2Cl at its relaxed geometry (PBE-GGA).

Calculated values
distance to the lowest polymorph of the same formula = 0.0 meV per atom
volume = 109.0 Å³ per cell
uncorrected formation energy = -1 meV/atom

Cell lengths 4.690, 4.690, 4.957 Å; angles 90.00, 90.00, 90.00 degrees
Positions (direct):
Al1 0.000 0.000 0.000
W1 0.500 0.500 0.500
S1 0.000 0.500 0.500
S2 0.500 0.000 0.500
Cl1 0.500 0.500 0.000